Record 1
Here is a relaxed Mg3Be crystal from Alexandria via LeMat-Bulk. Energies are from PBE.

Output
Density of states at the Fermi level, states/eV per atom: 0.190
Final energy, eV/atom: -1.8482

Geometry as CIF:
```
data_Mg3Be
_space_group_name_H-M_alt 'P 1'
_space_group_IT_number 1
_cell_length_a 9.4594
_cell_length_b 9.4594
_cell_length_c 9.4594
_cell_angle_alpha 18.98
_cell_angle_beta 18.98
_cell_angle_gamma 18.98
loop_
_space_group_symop_operation_xyz
'x,y,z'
loop_
_atom_site_label
_atom_site_type_symbol
_atom_site_fract_x
_atom_site_fract_y
_atom_site_fract_z
Be1 Be 0.0000 0.0000 0.0000
Mg1 Mg 0.5000 0.5000 0.5000
Mg2 Mg 0.7353 0.7353 0.7353
Mg3 Mg 0.2647 0.2647 0.2647
```

***

Record 2
Here is a relaxed Mg4Be3 crystal from Alexandria via LeMat-Bulk. Energies are from PBE.

Output
ΔE to the lowest computed polymorph, eV per atom: 0.036
Density of states at the Fermi level, states/eV per atom: 0.319

Geometry as CIF:
```
data_Mg4Be3
_space_group_name_H-M_alt 'P 1'
_space_group_IT_number 1
_cell_length_a 13.0711
_cell_length_b 13.0711
_cell_length_c 13.0711
_cell_angle_alpha 167.14
_cell_angle_beta 167.14
_cell_angle_gamma 18.23
loop_
_space_group_symop_operation_xyz
'x,y,z'
loop_
_atom_site_label
_atom_site_type_symbol
_atom_site_fract_x
_atom_site_fract_y
_atom_site_fract_z
Be1 Be 0.2673 0.2673 0.0000
Mg1 Mg 0.8389 0.8389 0.0000
Mg2 Mg 0.1611 0.1611 0.0000
Be2 Be 0.7327 0.7327 0.0000
Mg3 Mg 0.5648 0.5648 0.0000
Be3 Be 0.0000 0.0000 0.0000
Mg4 Mg 0.4352 0.4352 0.0000
```